Compound: NdYTlBi
Source: Alexandria via LeMat-Bulk
Functional: PBE-GGA
Structure: optimized geometry

```
NdYTlBi
1.0
0.000 3.903 3.903
3.903 0.000 3.903
3.903 3.903 0.000
Nd Y Tl Bi
1 1 1 1
Direct
0.000 0.000 0.000
0.500 0.500 0.500
0.750 0.750 0.750
0.250 0.250 0.250
```

Computed properties:
* mass density: 9.03 g/cm³
* DFT total energy: -4.83 eV per atom
* D(E_F): 4.231 states/eV per cell
* formation energy: -0.4555 eV/atom

Compound: NdTm2Bi
Source: Alexandria via LeMat-Bulk
Functional: PBE-GGA
Structure: optimized geometry

```
NdTm2Bi
1.0
0.000 3.881 3.881
3.881 0.000 3.881
3.881 3.881 0.000
Nd Tm Bi
1 2 1
Direct
0.000 0.000 0.000
0.250 0.250 0.250
0.750 0.750 0.750
0.500 0.500 0.500
```

Computed properties:
* mass density: 9.81 g/cm³
* DFT total energy: -4.50 eV per atom
* energy above the lowest structure with this stoichiometry: 276.5 meV/atom
* D(E_F): 6.771 states/eV per cell
* formation energy: -0.1065 eV/atom

Compound: NdTm5Bi4
Source: Alexandria via LeMat-Bulk
Functional: PBE-GGA
Structure: optimized geometry

```
NdTm5Bi4
1.0
9.947 -2.198 0.000
9.947 2.198 0.000
-1.534 0.000 7.511
Nd Tm Bi
1 5 4
Direct
0.000 0.000 0.000
0.000 0.000 0.500
0.302 0.302 0.388
0.311 0.311 0.915
0.689 0.689 0.085
0.698 0.698 0.612
0.136 0.136 0.328
0.434 0.434 0.228
0.566 0.566 0.772
0.864 0.864 0.672
```

Computed properties:
* mass density: 9.23 g/cm³
* DFT total energy: -4.79 eV per atom
* D(E_F): 7.894 states/eV per cell
* formation energy: -0.5249 eV/atom

Compound: NdTm3Bi2
Source: Alexandria via LeMat-Bulk
Functional: PBE-GGA
Structure: optimized geometry

```
NdTm3Bi2
1.0
9.346 -2.171 0.000
9.346 2.171 0.000
-3.905 0.000 9.086
Nd Tm Bi
2 6 4
Direct
0.112 0.112 0.119
0.888 0.888 0.881
0.058 0.058 0.670
0.311 0.311 0.111
0.364 0.364 0.522
0.636 0.636 0.478
0.689 0.689 0.889
0.942 0.942 0.330
0.247 0.247 0.708
0.487 0.487 0.157
0.513 0.513 0.843
0.753 0.753 0.292
```

Computed properties:
* mass density: 9.63 g/cm³
* DFT total energy: -4.79 eV per atom
* D(E_F): 11.536 states/eV per cell
* formation energy: -0.4697 eV/atom